The following is a PBE calculation of crystalline SrBe2P2O8 at its relaxed geometry, from Alexandria.

a = 8.061 Å, b = 9.076 Å, c = 8.544 Å
α = 90.00°, β = 90.22°, γ = 90.00°
Sites, in units of the cell vectors:
Sr1 0.245 0.086 0.393
Sr2 0.245 0.414 0.893
Sr3 0.755 0.586 0.107
Sr4 0.755 0.914 0.607
Be1 0.070 0.082 0.775
Be2 0.070 0.418 0.275
Be3 0.428 0.693 0.435
Be4 0.428 0.807 0.935
Be5 0.572 0.193 0.065
Be6 0.572 0.307 0.565
Be7 0.930 0.582 0.725
Be8 0.930 0.918 0.225
P1 0.064 0.696 0.432
P2 0.064 0.804 0.932
P3 0.438 0.086 0.770
P4 0.438 0.414 0.270
P5 0.562 0.586 0.730
P6 0.562 0.914 0.230
P7 0.936 0.196 0.068
P8 0.936 0.304 0.568
O1 0.007 0.586 0.303
O2 0.007 0.914 0.803
O3 0.049 0.643 0.869
O4 0.049 0.857 0.369
O5 0.060 0.184 0.930
O6 0.060 0.316 0.430
O7 0.240 0.663 0.488
O8 0.240 0.837 0.988
O9 0.258 0.092 0.702
O10 0.258 0.408 0.202
O11 0.444 0.188 0.914
O12 0.444 0.312 0.414
O13 0.446 0.639 0.864
O14 0.446 0.861 0.364
O15 0.496 0.572 0.307
O16 0.496 0.928 0.807
O17 0.504 0.072 0.193
O18 0.504 0.428 0.693
O19 0.554 0.139 0.636
O20 0.554 0.361 0.136
O21 0.556 0.688 0.586
O22 0.556 0.812 0.086
O23 0.742 0.592 0.798
O24 0.742 0.908 0.298
O25 0.760 0.163 0.012
O26 0.760 0.337 0.512
O27 0.940 0.684 0.570
O28 0.940 0.816 0.070
O29 0.951 0.143 0.631
O30 0.951 0.357 0.131
O31 0.993 0.086 0.197
O32 0.993 0.414 0.697

Results
ρ, g/cm3: 3.141
Crystal system: monoclinic
SG: P2_1/c, No. 14
Raw total energy, eV for the cell shown: -379.366

The following is a PBE calculation of crystalline SrBeP2O at its relaxed geometry, from Alexandria.

a = 4.013 Å, b = 4.013 Å, c = 5.572 Å
α = 90.00°, β = 90.00°, γ = 90.00°
Sites, in units of the cell vectors:
Sr1 0.000 0.000 0.000
Be1 0.500 0.500 0.500
P1 0.000 0.500 0.500
P2 0.500 0.000 0.500
O1 0.500 0.500 0.000

Results
ρ, g/cm3: 3.230
Crystal system: tetragonal
SG: P4/mmm, No. 123
Polymorph energy (0 for the lowest one), meV/atom: 0

The following is a PBE calculation of crystalline SrBeP2O at its relaxed geometry, from Alexandria.

a = 5.620 Å, b = 5.620 Å, c = 4.361 Å
α = 90.00°, β = 90.00°, γ = 90.00°
Sites, in units of the cell vectors:
Sr1 0.000 0.000 0.000
Be1 0.500 0.500 0.500
P1 0.000 0.500 0.000
P2 0.500 0.000 0.000
O1 0.000 0.000 0.500

Results
ρ, g/cm3: 2.105
Crystal system: tetragonal
SG: P4/mmm, No. 123
Polymorph energy (0 for the lowest one), meV/atom: 1539

The following is a PBE calculation of crystalline TaBePO2 at its relaxed geometry, from Alexandria.

a = 3.504 Å, b = 3.504 Å, c = 4.445 Å
α = 90.00°, β = 90.00°, γ = 90.00°
Sites, in units of the cell vectors:
Ta1 0.000 0.000 0.000
Be1 0.500 0.500 0.500
P1 0.500 0.500 0.000
O1 0.000 0.500 0.500
O2 0.500 0.000 0.500

Results
ρ, g/cm3: 7.697
Crystal system: tetragonal
SG: P4/mmm, No. 123
Polymorph energy (0 for the lowest one), meV/atom: 538

The following is a PBE calculation of crystalline TaBePO2 at its relaxed geometry, from Alexandria.

a = 3.827 Å, b = 3.827 Å, c = 5.321 Å
α = 90.00°, β = 90.00°, γ = 90.00°
Sites, in units of the cell vectors:
Ta1 0.000 0.000 0.000
Be1 0.500 0.500 0.500
P1 0.000 0.000 0.500
O1 0.000 0.500 0.000
O2 0.500 0.000 0.000

Results
ρ, g/cm3: 5.390
Crystal system: tetragonal
SG: P4/mmm, No. 123
Polymorph energy (0 for the lowest one), meV/atom: 0

The following is a PBE calculation of crystalline BeTcP2O at its relaxed geometry, from Alexandria.

a = 4.687 Å, b = 4.687 Å, c = 2.853 Å
α = 90.00°, β = 90.00°, γ = 90.00°
Sites, in units of the cell vectors:
Be1 0.000 0.000 0.000
Tc1 0.500 0.500 0.500
P1 0.000 0.500 0.000
P2 0.500 0.000 0.000
O1 0.000 0.000 0.500

Results
ρ, g/cm3: 4.901
Crystal system: tetragonal
SG: P4/mmm, No. 123
Polymorph energy (0 for the lowest one), meV/atom: 0

The following is a PBE calculation of crystalline BeTcPO2 at its relaxed geometry, from Alexandria.

a = 3.693 Å, b = 3.693 Å, c = 5.261 Å
α = 90.00°, β = 90.00°, γ = 90.00°
Sites, in units of the cell vectors:
Be1 0.000 0.000 0.000
Tc1 0.500 0.500 0.500
P1 0.500 0.500 0.000
O1 0.000 0.500 0.500
O2 0.500 0.000 0.500

Results
ρ, g/cm3: 3.934
Crystal system: tetragonal
SG: P4/mmm, No. 123
Polymorph energy (0 for the lowest one), meV/atom: 0

The following is a PBE calculation of crystalline BeTcP2O at its relaxed geometry, from Alexandria.

a = 4.738 Å, b = 4.738 Å, c = 3.669 Å
α = 90.00°, β = 90.00°, γ = 90.00°
Sites, in units of the cell vectors:
Be1 0.000 0.000 0.000
Tc1 0.500 0.500 0.500
P1 0.000 0.500 0.500
P2 0.500 0.000 0.500
O1 0.500 0.500 0.000

Results
ρ, g/cm3: 3.730
Crystal system: tetragonal
SG: P4/mmm, No. 123
Polymorph energy (0 for the lowest one), meV/atom: 241